(1)
{
  "formula": "PRuO2F",
  "functional": "PBE-GGA",
  "state": "relaxed",
  "lattice": [[4.156, 0.000, 0.000], [0.000, 4.156, 0.000], [0.000, 0.000, 3.539]],
  "species": ["P", "Ru", "O", "O", "F"],
  "frac_coords": [[0.000, 0.000, 0.000], [0.500, 0.500, 0.000], [0.000, 0.500, 0.500], [0.500, 0.000, 0.500], [0.000, 0.000, 0.500]],
  "sg": "No. 123",
  "magnetic_moment_mub_per_cell": 4.05
}

***

(2)
{
  "formula": "Be2PSe",
  "functional": "PBE-GGA",
  "state": "relaxed",
  "lattice": [[2.626, 0.000, 0.000], [0.000, 2.626, 0.000], [0.000, 0.000, 8.679]],
  "species": ["Be", "Be", "P", "Se"],
  "frac_coords": [[0.000, 0.000, 0.000], [0.500, 0.500, 0.145], [0.000, 0.000, 0.318], [0.500, 0.500, 0.711]],
  "sg": "No. 99",
  "magnetic_moment_mub_per_cell": 0.00,
  "de_polymorph_mev_per_atom": 797
}

***

The following raw total energy values (in eV/cell) correspond, in order, to the records above: -21.615; -14.516.
The following DOS(E_F) values (in states/eV per cell) correspond, in order, to the records above: 3.1; 1.1.